1.
Entry from Alexandria via LeMat-Bulk: PmPr4Dy4 after structural relaxation (PBE-GGA).

```
data_PmPr4Dy4
_space_group_name_H-M_alt 'I 4/m m m'
_space_group_IT_number 139
_space_group_name_Hall '-I 4 2'
_cell_length_a 10.899
_cell_length_b 10.899
_cell_length_c 5.132
_cell_angle_alpha 90.00
_cell_angle_beta 90.00
_cell_angle_gamma 90.00
loop_
_atom_site_label
_atom_site_type_symbol
_atom_site_fract_x
_atom_site_fract_y
_atom_site_fract_z
Pm1 Pm 0.000 0.000 0.000
Pr1 Pr 0.167 0.167 0.500
Dy1 Dy 0.000 0.336 0.000
```

Output
- magnetization (Bohr magnetons per cell) = 0.000
- DFT formation energy (meV/atom) = 19.4
- Fermi-level density of states (states/eV/f.u.) = 13.7
- mass density (Mg/m³) = 7.4
- crystal system = tetragonal

---

2.
Entry from Alexandria via LeMat-Bulk: Pm7Pr16Dy6 after structural relaxation (PBE-GGA).

```
data_Pm7Pr16Dy6
_space_group_name_H-M_alt 'F m -3 m'
_space_group_IT_number 225
_space_group_name_Hall '-F 4 2 3'
_cell_length_a 16.188
_cell_length_b 16.188
_cell_length_c 16.188
_cell_angle_alpha 90.00
_cell_angle_beta 90.00
_cell_angle_gamma 90.00
loop_
_atom_site_label
_atom_site_type_symbol
_atom_site_fract_x
_atom_site_fract_y
_atom_site_fract_z
Pm1 Pm 0.000 0.000 0.000
Pm2 Pm 0.000 0.250 0.250
Pr1 Pr 0.125 0.125 0.125
Pr2 Pr 0.150 0.150 0.350
Dy1 Dy 0.000 0.000 0.264
```

Output
- magnetization (Bohr magnetons per cell) = 0.000
- DFT formation energy (meV/atom) = 214.0
- Fermi-level density of states (states/eV/f.u.) = 37.8
- mass density (Mg/m³) = 6.6
- crystal system = cubic

---

3.
Entry from Alexandria via LeMat-Bulk: Pm4Pr4Dy after structural relaxation (PBE-GGA).

```
data_Pm4Pr4Dy
_space_group_name_H-M_alt 'I 4/m m m'
_space_group_IT_number 139
_space_group_name_Hall '-I 4 2'
_cell_length_a 11.004
_cell_length_b 11.004
_cell_length_c 5.182
_cell_angle_alpha 90.00
_cell_angle_beta 90.00
_cell_angle_gamma 90.00
loop_
_atom_site_label
_atom_site_type_symbol
_atom_site_fract_x
_atom_site_fract_y
_atom_site_fract_z
Pm1 Pm 0.000 0.334 0.000
Pr1 Pr 0.166 0.166 0.500
Dy1 Dy 0.000 0.000 0.000
```

Output
- magnetization (Bohr magnetons per cell) = 0.000
- DFT formation energy (meV/atom) = 13.3
- Fermi-level density of states (states/eV/f.u.) = 13.9
- offset from the most stable computed form (meV/atom) = 0
- mass density (Mg/m³) = 6.9
- crystal system = tetragonal

---

4.
Entry from Alexandria via LeMat-Bulk: Pm2Pr3Dy after structural relaxation (PBE-GGA).

```
data_Pm2Pr3Dy
_space_group_name_H-M_alt 'C m m m'
_space_group_IT_number 65
_space_group_name_Hall '-C 2 2'
_cell_length_a 6.003
_cell_length_b 18.570
_cell_length_c 3.753
_cell_angle_alpha 90.00
_cell_angle_beta 90.00
_cell_angle_gamma 90.00
loop_
_atom_site_label
_atom_site_type_symbol
_atom_site_fract_x
_atom_site_fract_y
_atom_site_fract_z
Pm1 Pm 0.000 0.178 0.000
Pr1 Pr 0.000 0.000 0.500
Pr2 Pr 0.000 0.347 0.500
Dy1 Dy 0.000 0.500 0.000
```

Output
- magnetization (Bohr magnetons per cell) = 0.000
- DFT formation energy (meV/atom) = 92.8
- Fermi-level density of states (states/eV/f.u.) = 9.8
- offset from the most stable computed form (meV/atom) = 42
- mass density (Mg/m³) = 6.9
- crystal system = orthorhombic